[1]
Dy4Ho6Sc, relaxed, DFT PBE-GGA; calculated formation energy = 0.14 eV per atom; space group = Cmcm; offset from the most stable computed form = 0.000 eV/atom; VASP energy = -4.608 eV per atom
1.0
2.7967 -4.7621 0.0000
2.7967 4.7621 0.0000
0.0000 0.0000 25.4133
Dy Ho Sc
8 12 2
direct
0.0212 0.9788 0.6217 Dy
0.0212 0.9788 0.8783 Dy
0.3404 0.6596 0.5436 Dy
0.3404 0.6596 0.9564 Dy
0.6596 0.3404 0.0436 Dy
0.6596 0.3404 0.4564 Dy
0.9788 0.0212 0.1217 Dy
0.9788 0.0212 0.3783 Dy
0.0000 0.0000 0.0000 Ho
0.0000 0.0000 0.5000 Ho
0.0149 0.9851 0.7500 Ho
0.3156 0.6844 0.1074 Ho
0.3156 0.6844 0.3926 Ho
0.3504 0.6496 0.6830 Ho
0.3504 0.6496 0.8170 Ho
0.6496 0.3504 0.1830 Ho
0.6496 0.3504 0.3170 Ho
0.6844 0.3156 0.6074 Ho
0.6844 0.3156 0.8926 Ho
0.9851 0.0149 0.2500 Ho
0.3193 0.6807 0.2500 Sc
0.6807 0.3193 0.7500 Sc

=====

[2]
DyHo2Sc3, relaxed, DFT PBE-GGA; calculated formation energy = 0.06 eV per atom; space group = P2_1/m; VASP energy = -5.403 eV per atom
1.0
5.9428 0.0000 0.0000
0.0000 3.4291 0.0000
-1.9881 0.0000 16.3675
Dy Ho Sc
2 4 6
direct
0.0278 0.2500 0.3333 Dy
0.9722 0.7500 0.6667 Dy
0.2500 0.2500 0.0000 Ho
0.4725 0.2500 0.6666 Ho
0.5275 0.7500 0.3334 Ho
0.7500 0.7500 0.0000 Ho
0.1389 0.7500 0.1670 Sc
0.2503 0.7500 0.5001 Sc
0.3613 0.7500 0.8328 Sc
0.6387 0.2500 0.1672 Sc
0.7497 0.2500 0.4999 Sc
0.8611 0.2500 0.8330 Sc

=====

[3]
Dy6Ho2Sc, relaxed, DFT PBE-GGA; calculated formation energy = 0.03 eV per atom; space group = C2/m; offset from the most stable computed form = 0.000 eV/atom; VASP energy = -4.759 eV per atom
1.0
5.5431 -2.4781 0.0000
5.5431 2.4781 0.0000
-3.3345 0.0000 9.9847
Dy Ho Sc
6 2 1
direct
0.1633 0.1633 0.2190 Dy
0.1663 0.1663 0.5552 Dy
0.1681 0.1681 0.8912 Dy
0.8319 0.8319 0.1088 Dy
0.8337 0.8337 0.4448 Dy
0.8367 0.8367 0.7810 Dy
0.4981 0.4981 0.3296 Ho
0.5019 0.5019 0.6704 Ho
0.5000 0.5000 0.0000 Sc

=====

[4]
DyHo12Sc5, relaxed, DFT PBE-GGA; calculated formation energy = 0.05 eV per atom; space group = Cmmm; VASP energy = -5.018 eV per atom
1.0
2.4844 -7.4481 0.0000
2.4844 7.4481 0.0000
0.0000 0.0000 13.9727
Dy Ho Sc
1 12 5
direct
0.0000 0.0000 0.0000 Dy
0.0000 0.0000 0.3403 Ho
0.0000 0.0000 0.6597 Ho
0.1681 0.8319 0.1650 Ho
0.1681 0.8319 0.8350 Ho
0.3332 0.6668 0.3410 Ho
0.3332 0.6668 0.6590 Ho
0.5000 0.5000 0.1664 Ho
0.5000 0.5000 0.8336 Ho
0.6668 0.3332 0.3410 Ho
0.6668 0.3332 0.6590 Ho
0.8319 0.1681 0.1650 Ho
0.8319 0.1681 0.8350 Ho
0.1666 0.8334 0.5000 Sc
0.3320 0.6680 0.0000 Sc
0.5000 0.5000 0.5000 Sc
0.6680 0.3320 0.0000 Sc
0.8334 0.1666 0.5000 Sc

=====

[5]
Dy9Ho11Sc4, relaxed, DFT PBE-GGA; calculated formation energy = 0.04 eV per atom; space group = Cmmm; VASP energy = -4.835 eV per atom
1.0
8.2210 -12.4301 0.0000
8.2210 12.4301 0.0000
0.0000 0.0000 3.5682
Dy Ho Sc
9 11 4
direct
0.0000 0.0000 0.0000 Dy
0.1284 0.6657 0.0000 Dy
0.2829 0.4276 0.0000 Dy
0.3343 0.8716 0.0000 Dy
0.4276 0.2829 0.0000 Dy
0.5724 0.7171 0.0000 Dy
0.6657 0.1284 0.0000 Dy
0.7171 0.5724 0.0000 Dy
0.8716 0.3343 0.0000 Dy
0.0931 0.4535 0.5000 Ho
0.1297 0.8703 0.5000 Ho
0.2025 0.2025 0.5000 Ho
0.3402 0.6598 0.5000 Ho
0.4535 0.0931 0.5000 Ho
0.5000 0.5000 0.5000 Ho
0.5465 0.9069 0.5000 Ho
0.6598 0.3402 0.5000 Ho
0.7975 0.7975 0.5000 Ho
0.8703 0.1297 0.5000 Ho
0.9069 0.5465 0.5000 Ho
0.0543 0.2573 0.0000 Sc
0.2573 0.0543 0.0000 Sc
0.7427 0.9457 0.0000 Sc
0.9457 0.7427 0.0000 Sc

=====

[6]
DyHoSc2, relaxed, DFT PBE-GGA; calculated formation energy = 0.05 eV per atom; space group = P4/mmm; offset from the most stable computed form = 0.007 eV/atom; VASP energy = -5.410 eV per atom
1.0
3.4470 0.0000 0.0000
0.0000 3.4470 0.0000
0.0000 0.0000 9.3314
Dy Ho Sc
1 1 2
direct
0.0000 0.0000 0.0000 Dy
0.0000 0.0000 0.5000 Ho
0.5000 0.5000 0.2504 Sc
0.5000 0.5000 0.7496 Sc

=====

[7]
DyHo5Sc5, relaxed, DFT PBE-GGA; calculated formation energy = 0.24 eV per atom; space group = P-6m2; VASP energy = -5.133 eV per atom
1.0
5.7673 0.0000 0.0000
-2.8837 4.9946 0.0000
0.0000 0.0000 11.2462
Dy Ho Sc
1 5 5
direct
0.0000 0.0000 0.0000 Dy
0.0000 0.0000 0.3195 Ho
0.0000 0.0000 0.6805 Ho
0.3333 0.6667 0.1601 Ho
0.3333 0.6667 0.8399 Ho
0.6667 0.3333 0.0000 Ho
0.5020 0.0040 0.5000 Sc
0.5020 0.4980 0.5000 Sc
0.6667 0.3333 0.2689 Sc
0.6667 0.3333 0.7311 Sc
0.9960 0.4980 0.5000 Sc

=====

[8]
Dy12Ho6Sc, relaxed, DFT PBE-GGA; calculated formation energy = 0.42 eV per atom; space group = R-3m; offset from the most stable computed form = 0.264 eV/atom; VASP energy = -4.265 eV per atom
1.0
7.8933 4.5572 2.9370
-7.8933 4.5572 2.9370
0.0000 -9.1144 2.9370
Dy Ho Sc
12 6 1
direct
0.0000 0.3891 0.6109 Dy
0.0000 0.6109 0.3891 Dy
0.2513 0.2513 0.5045 Dy
0.2513 0.5045 0.2513 Dy
0.3891 0.0000 0.6109 Dy
0.3891 0.6109 0.0000 Dy
0.4955 0.7487 0.7487 Dy
0.5045 0.2513 0.2513 Dy
0.6109 0.0000 0.3891 Dy
0.6109 0.3891 0.0000 Dy
0.7487 0.4955 0.7487 Dy
0.7487 0.7487 0.4955 Dy
0.1436 0.1436 0.7627 Ho
0.1436 0.7627 0.1436 Ho
0.2373 0.8564 0.8564 Ho
0.7627 0.1436 0.1436 Ho
0.8564 0.2373 0.8564 Ho
0.8564 0.8564 0.2373 Ho
0.5000 0.5000 0.5000 Sc

=====

[9]
DyHo10Sc4, relaxed, DFT PBE-GGA; calculated formation energy = 0.58 eV per atom; space group = I4/m; VASP energy = -4.472 eV per atom
1.0
-5.2125 5.2125 4.5283
5.2125 -5.2125 4.5283
5.2125 5.2125 -4.5283
Dy Ho Sc
1 10 4
direct
0.0000 0.0000 0.0000 Dy
0.0278 0.6954 0.0892 Ho
0.0614 0.9722 0.6676 Ho
0.2500 0.7500 0.5000 Ho
0.3046 0.3938 0.3324 Ho
0.3938 0.0614 0.0892 Ho
0.6062 0.9386 0.9108 Ho
0.6954 0.6062 0.6676 Ho
0.7500 0.2500 0.5000 Ho
0.9386 0.0278 0.3324 Ho
0.9722 0.3046 0.9108 Ho
0.2655 0.4624 0.7279 Sc
0.4624 0.7345 0.1970 Sc
0.5376 0.2655 0.8030 Sc
0.7345 0.5376 0.2721 Sc

=====

[10]
Dy2Ho12Sc5, relaxed, DFT PBE-GGA; calculated formation energy = 0.15 eV per atom; space group = C2/m; VASP energy = -4.893 eV per atom
1.0
7.9450 -4.3368 0.0000
7.9450 4.3368 0.0000
-0.1366 0.0000 8.2616
Dy Ho Sc
2 12 5
direct
0.2131 0.7869 0.0000 Dy
0.7869 0.2131 0.0000 Dy
0.0180 0.6083 0.7766 Ho
0.1662 0.1662 0.8699 Ho
0.1805 0.6003 0.3849 Ho
0.3917 0.9820 0.2234 Ho
0.3997 0.8195 0.6151 Ho
0.4457 0.4457 0.7203 Ho
0.5543 0.5543 0.2797 Ho
0.6003 0.1805 0.3849 Ho
0.6083 0.0180 0.7766 Ho
0.8195 0.3997 0.6151 Ho
0.8338 0.8338 0.1301 Ho
0.9820 0.3917 0.2234 Ho
0.0000 0.0000 0.5000 Sc
0.2467 0.2467 0.5471 Sc
0.3535 0.3535 0.0576 Sc
0.6465 0.6465 0.9424 Sc
0.7533 0.7533 0.4529 Sc

=====

[11]
Dy2Ho7Sc2, relaxed, DFT PBE-GGA; calculated formation energy = 0.36 eV per atom; space group = Cmmm; offset from the most stable computed form = 0.155 eV/atom; VASP energy = -4.542 eV per atom
1.0
3.2280 -5.8334 0.0000
3.2280 5.8334 0.0000
0.0000 0.0000 9.3101
Dy Ho Sc
2 7 2
direct
0.2493 0.2493 0.0000 Dy
0.7507 0.7507 0.0000 Dy
0.0000 0.0000 0.5000 Ho
0.0000 0.5000 0.1928 Ho
0.0000 0.5000 0.8072 Ho
0.5000 0.0000 0.1928 Ho
0.5000 0.0000 0.8072 Ho
0.5000 0.5000 0.3188 Ho
0.5000 0.5000 0.6812 Ho
0.2710 0.7290 0.5000 Sc
0.7290 0.2710 0.5000 Sc

=====

[12]
DyHo2Sc, relaxed, DFT PBE-GGA; calculated formation energy = 0.04 eV per atom; space group = P4/mmm; offset from the most stable computed form = 0.013 eV/atom; VASP energy = -4.981 eV per atom
1.0
4.8952 0.0000 0.0000
0.0000 4.8952 0.0000
0.0000 0.0000 4.9012
Dy Ho Sc
1 2 1
direct
0.0000 0.0000 0.0000 Dy
0.0000 0.5000 0.5000 Ho
0.5000 0.0000 0.5000 Ho
0.5000 0.5000 0.0000 Sc

=====

The records above yield D(E_F) values of 1.76, 1.61, 1.29, 1.50, 1.37, 1.62, 2.02, 1.86, 1.38, 1.58, 1.80, 1.55 states/eV/atom, respectively.